1.
A plane-wave DFT calculation with PBE-GGA was carried out for a relaxed ZnSeN2O crystal.

Output
formation energy (no corrections): 1.199 eV/atom

Cell: 3.8137 3.8137 3.7578 Å, 90.00 90.00 90.00°
Sites, in units of the cell vectors:
O 0.0000 0.0000 0.5000
N 0.5000 0.0000 0.0000
N 0.0000 0.5000 0.0000
Zn 0.5000 0.5000 0.5000
Se 0.0000 0.0000 0.0000

***

2.
A plane-wave DFT calculation with PBE-GGA was carried out for a relaxed Tm3Mg3Pb4 crystal.

Output
energy of formation from the pure elements: -0.237 eV/atom

Cell: 4.5248 7.7154 7.7154 Å, 89.25 90.00 90.00°
Sites, in units of the cell vectors:
Mg 0.0000 0.9968 0.4957
Mg 0.0000 0.5043 0.0032
Mg 0.5000 0.1677 0.8323
Tm 0.5000 0.6679 0.6706
Tm 0.5000 0.3294 0.3321
Tm 0.5000 0.8377 0.1623
Pb 0.0000 0.1403 0.1378
Pb 0.0000 0.3553 0.6447
Pb 0.0000 0.6385 0.3615
Pb 0.0000 0.8622 0.8597

***

3.
A plane-wave DFT calculation with PBE-GGA was carried out for a relaxed Ca2Y4Pb3O2 crystal.

Output
formation energy (no corrections): -1.427 eV/atom

Cell: 4.7497 4.7497 13.1066 Å, 100.44 100.44 90.00°
Sites, in units of the cell vectors:
Ca 0.6953 0.6953 0.3906
Ca 0.3047 0.3047 0.6094
Y 0.9141 0.4141 0.8282
Y 0.5859 0.0859 0.1718
Y 0.4141 0.9141 0.8282
Y 0.0859 0.5859 0.1718
O 0.4048 0.4048 0.8097
O 0.5952 0.5952 0.1903
Pb 0.0000 0.0000 0.0000
Pb 0.8255 0.8255 0.6510
Pb 0.1745 0.1745 0.3490

***

4.
A plane-wave DFT calculation with PBE-GGA was carried out for a relaxed TbPmDyZn crystal.

Output
energy of formation from the pure elements: -0.162 eV/atom

Cell: 3.5920 3.5920 8.6846 Å, 90.00 90.00 90.00°
Sites, in units of the cell vectors:
Tb 0.5000 0.5000 0.7753
Pm 0.0000 0.0000 0.0722
Dy 0.5000 0.5000 0.3675
Zn 0.0000 0.0000 0.5697

***

Total moment for every record listed, in sequence, given in Bohr magnetons per cell: 0.00, 0.00, 0.00, 0.00.